# 1
The following is a DFT calculation (PBE) of a relaxed Cr3PRu crystal.

## Properties
The symmetry is Pm-3m, No. 221. The value obtained for the polymorph energy (0 for the lowest one) is 0 meV per atom.

extended XYZ file:
```
5
Lattice="4.127 0.000 0.000 0.000 4.127 0.000 0.000 0.000 4.127" Properties=species:S:1:pos:R:3 pbc="T T T"
Ru 2.064 2.064 2.064
P 0.000 0.000 0.000
Cr 0.000 2.064 0.000
Cr 0.000 0.000 2.064
Cr 2.064 0.000 0.000
```

# 2
The following is a DFT calculation (PBE) of a relaxed Nd2Zn3AgGe4 crystal.

## Properties
The symmetry is P-4m2, No. 115.

extended XYZ file:
```
10
Lattice="4.377 0.000 0.000 0.000 4.377 0.000 0.000 0.000 10.478" Properties=species:S:1:pos:R:3 pbc="T T T"
Nd 2.189 0.000 2.551
Nd 0.000 2.189 7.927
Zn 0.000 0.000 5.239
Zn 2.189 0.000 9.143
Zn 0.000 2.189 1.335
Ag 2.189 2.189 5.239
Ge 2.189 2.189 0.000
Ge 0.000 0.000 0.000
Ge 2.189 0.000 6.729
Ge 0.000 2.189 3.748
```

# 3
The following is a DFT calculation (PBE) of a relaxed Sc4PtAu crystal.

## Properties
The symmetry is F-43m, No. 216. The value obtained for the polymorph energy (0 for the lowest one) is 653 meV per atom.

extended XYZ file:
```
6
Lattice="0.651 -5.346 -1.131 -2.973 -3.765 2.696 -3.973 -2.761 -2.621" Properties=species:S:1:pos:R:3 pbc="T T T"
Sc -2.028 -7.132 -0.964
Sc -4.354 -5.832 -1.714
Sc -3.851 -6.337 0.961
Sc -2.356 -4.443 -0.395
Pt 0.000 0.000 0.000
Au -4.721 -8.904 -0.792
```

no.,final energy (eV per cell),energy relative to the elements (eV/atom)
1,-40.1,0.686
2,-38.6,-0.395
3,-34.6,0.012